(1)
The following is a DFT calculation (GGA-PBE) of a relaxed Sc6HC2O2 crystal.

Calculated total energy: -7.80 eV per atom
Symmetry: No. 12

a = 5.6406 Å, b = 5.6406 Å, c = 5.6107 Å
α = 99.15°, β = 99.15°, γ = 120.39°
Fractional coordinates of all 11 atoms:
Sc  0.0659  0.4254  0.7506
Sc  0.2416  0.2416  0.2450
Sc  0.4254  0.0659  0.7506
Sc  0.5746  0.9341  0.2494
Sc  0.7584  0.7584  0.7550
Sc  0.9341  0.5746  0.2494
H  0.5000  0.5000  0.0000
C  0.1662  0.8338  0.0000
C  0.8338  0.1662  0.0000
O  0.3332  0.6668  0.5000
O  0.6668  0.3332  0.5000

(2)
The following is a DFT calculation (GGA-PBE) of a relaxed Dy5YErTh2 crystal.

Calculated total energy: -5.09 eV per atom
Symmetry: No. 140

a = 9.9148 Å, b = 9.9148 Å, c = 9.9148 Å
α = 127.75°, β = 127.75°, γ = 77.03°
Fractional coordinates of all 18 atoms:
Dy  0.0000  0.0000  0.0000
Dy  0.0710  0.5710  0.9218
Dy  0.1492  0.0710  0.5000
Dy  0.3508  0.8508  0.9218
Dy  0.4290  0.3508  0.5000
Dy  0.5000  0.5000  0.0000
Dy  0.5710  0.6492  0.5000
Dy  0.6492  0.1492  0.0782
Dy  0.8508  0.9290  0.5000
Dy  0.9290  0.4290  0.0782
Y  0.2500  0.2500  0.0000
Y  0.7500  0.7500  0.0000
Er  0.2500  0.7500  0.5000
Er  0.7500  0.2500  0.5000
Th  0.1197  0.3803  0.5000
Th  0.3803  0.8803  0.2606
Th  0.6197  0.1197  0.7394
Th  0.8803  0.6197  0.5000

(3)
The following is a DFT calculation (GGA-PBE) of a relaxed SrIrPt crystal.

Relative energy among the computed polymorphs: 1111 meV/atom
Calculated total energy: -4.98 eV per atom
Symmetry: No. 156

a = 3.0469 Å, b = 3.0469 Å, c = 7.2524 Å
α = 90.00°, β = 90.00°, γ = 120.00°
Fractional coordinates of all 3 atoms:
Sr  0.0000  0.0000  0.0000
Ir  0.6667  0.3333  0.3458
Pt  0.3333  0.6667  0.6467

(4)
The following is a DFT calculation (GGA-PBE) of a relaxed Tb3Er7Tl crystal.

Calculated total energy: -4.23 eV per atom
Symmetry: No. 156

a = 6.9180 Å, b = 6.9180 Å, c = 8.4677 Å
α = 90.00°, β = 90.00°, γ = 120.00°
Fractional coordinates of all 11 atoms:
Tb  0.1680  0.3360  0.0000
Tb  0.1680  0.8320  0.0000
Tb  0.6640  0.8320  0.0000
Er  0.0062  0.5031  0.3392
Er  0.3314  0.1657  0.6616
Er  0.3333  0.6667  0.6727
Er  0.4969  0.5031  0.3392
Er  0.4969  0.9938  0.3392
Er  0.8343  0.1657  0.6616
Er  0.8343  0.6686  0.6616
Tl  0.0000  0.0000  0.3391

(5)
The following is a DFT calculation (GGA-PBE) of a relaxed SrZn2CdCo crystal.

Relative energy among the computed polymorphs: 0 meV/atom
Calculated total energy: -2.51 eV per atom
Symmetry: No. 123

a = 4.7192 Å, b = 4.7192 Å, c = 4.9851 Å
α = 90.00°, β = 90.00°, γ = 90.00°
Fractional coordinates of all 5 atoms:
Sr  0.0000  0.0000  0.0000
Zn  0.0000  0.5000  0.5000
Zn  0.5000  0.0000  0.5000
Cd  0.5000  0.5000  0.0000
Co  0.5000  0.5000  0.5000

(6)
The following is a DFT calculation (GGA-PBE) of a relaxed BaU3Pt4Se12 crystal.

Formation energy from raw total energies: -0.524 eV/atom
Calculated total energy: -5.61 eV per atom
Symmetry: No. 155

a = 8.9015 Å, b = 8.9015 Å, c = 8.9015 Å
α = 104.98°, β = 104.98°, γ = 104.98°
Fractional coordinates of all 20 atoms:
Ba  0.0000  0.0000  0.0000
U  0.0000  0.5687  0.4313
U  0.4313  0.0000  0.5687
U  0.5687  0.4313  0.0000
Pt  0.0832  0.5000  0.9168
Pt  0.5000  0.5000  0.5000
Pt  0.5000  0.9168  0.0832
Pt  0.9168  0.0832  0.5000
Se  0.0102  0.6566  0.7459
Se  0.0880  0.9120  0.5000
Se  0.2541  0.3434  0.9898
Se  0.3325  0.6675  0.5000
Se  0.3434  0.9898  0.2541
Se  0.5000  0.0880  0.9120
Se  0.5000  0.3325  0.6675
Se  0.6566  0.7459  0.0102
Se  0.6675  0.5000  0.3325
Se  0.7459  0.0102  0.6566
Se  0.9120  0.5000  0.0880
Se  0.9898  0.2541  0.3434

(7)
The following is a DFT calculation (GGA-PBE) of a relaxed Ga2RuBr crystal.

Relative energy among the computed polymorphs: 423 meV/atom
Formation energy from raw total energies: 0.695 eV/atom
Calculated total energy: -3.56 eV per atom
Symmetry: No. 225

a = 4.7648 Å, b = 4.7648 Å, c = 4.7648 Å
α = 60.00°, β = 60.00°, γ = 60.00°
Fractional coordinates of all 4 atoms:
Ga  0.2500  0.2500  0.2500
Ga  0.7500  0.7500  0.7500
Ru  0.0000  0.0000  0.0000
Br  0.5000  0.5000  0.5000

(8)
The following is a DFT calculation (GGA-PBE) of a relaxed SmInSi2Pd5 crystal.

Formation energy from raw total energies: -0.626 eV/atom
Calculated total energy: -5.54 eV per atom
Symmetry: No. 123

a = 4.3632 Å, b = 4.3632 Å, c = 8.3456 Å
α = 90.00°, β = 90.00°, γ = 90.00°
Fractional coordinates of all 9 atoms:
Sm  0.0000  0.0000  0.0000
In  0.0000  0.0000  0.5000
Si  0.5000  0.5000  0.3616
Si  0.5000  0.5000  0.6384
Pd  0.0000  0.5000  0.2436
Pd  0.0000  0.5000  0.7564
Pd  0.5000  0.0000  0.2436
Pd  0.5000  0.0000  0.7564
Pd  0.5000  0.5000  0.0000